## PuCd3Pd2 (PBE-GGA)

Data for a relaxed PuCd3Pd2 crystal.

Lattice parameters (Å, degrees): 9.663 9.240 5.774 90.00 90.00 90.00
Space group Cmcm (No. 63)
One atom of each set of equivalent atoms:
Pu 0.000 0.101 0.250 (multiplicity 4)
Cd 0.000 0.455 0.250 (multiplicity 4)
Cd 0.161 0.245 0.750 (multiplicity 8)
Pd 0.247 0.500 0.000 (multiplicity 8)

D(E_F) (states/eV per cell): 53.64
Energy of formation from the pure elements (eV/atom): -0.292

## Mg2TaCo (PBE-GGA)

Data for a relaxed Mg2TaCo crystal.

Lattice parameters (Å, degrees): 7.458 7.458 5.072 90.00 90.00 90.00
Space group I-42d (No. 122)
One atom of each set of equivalent atoms:
Mg 0.196 0.750 0.125 (multiplicity 8)
Ta 0.000 0.000 0.500 (multiplicity 4)
Co 0.000 0.000 0.000 (multiplicity 4)

D(E_F) (states/eV per cell): 15.62
Energy relative to the lowest polymorph listed for this composition (eV per formula unit): 2.61
Energy of formation from the pure elements (eV/atom): 0.683

## BaTc2Mo (PBE-GGA)

Data for a relaxed BaTc2Mo crystal.

Lattice parameters (Å, degrees): 9.541 3.289 6.289 90.00 105.13 90.00
Space group Cm (No. 8)
One atom of each set of equivalent atoms:
Ba 0.000 0.000 0.000 (multiplicity 2)
Tc 0.283 0.500 0.380 (multiplicity 2)
Tc 0.494 0.000 0.486 (multiplicity 2)
Mo 0.200 0.000 0.612 (multiplicity 2)

D(E_F) (states/eV per cell): 7.84
Energy relative to the lowest polymorph listed for this composition (eV per formula unit): 0.47
Energy of formation from the pure elements (eV/atom): 0.732

| no. | magnetization (μB per atom) |
| --- | --- |
| 1 | 0.9631 |
| 2 | 0.0000 |
| 3 | 0.0000 |